Computed, not measured: a relaxed RbNbI4 crystal at the PBE level of DFT.

Cell lengths 7.4211, 7.9704, 10.5558 Å; angles 112.18, 118.43, 90.00 degrees
Atoms (fractional coordinates):
Rb 0.1652 0.1944 0.3888
Rb 0.8348 0.8056 0.6112
Nb 0.2765 0.4757 0.9514
Nb 0.7235 0.5243 0.0486
I 0.8873 0.3113 0.6225
I 0.5780 0.8261 0.2031
I 0.0000 0.7340 0.0000
I 0.4220 0.6230 0.7969
I 0.1127 0.6887 0.3775
I 0.4220 0.1739 0.7969
I 0.0000 0.2660 0.0000
I 0.5780 0.3770 0.2031

Values from the calculation:
**Uncorrected energy**: -3.6005 eV per atom